This record from Alexandria describes LiPtF5 after structural relaxation. The functional is PBE.

Results
VASP energy   -0.1565 Ha/atom
Calculated density   4989 kg/m³
Magnetization   0.000 μB/cell

abc: 7.9435 7.4891 7.4738
angles: 90.00 117.20 90.00
Space group C2/c (No. 15)
Inequivalent atoms, fractional coordinates:
Li (0.0000, 0.0881, 0.2500) [4 per cell]
Pt (0.0000, 0.5000, 0.0000) [4 per cell]
F (0.0000, 0.4026, 0.7500) [4 per cell]
F (0.0489, 0.2501, 0.4615) [8 per cell]
F (0.2273, 0.0481, 0.8501) [8 per cell]


This record from Alexandria describes FeNi3Se8 after structural relaxation. The functional is PBE.

Results
VASP energy   -0.1738 Ha/atom
Calculated density   5828 kg/m³
Magnetization   2.017 μB/cell

abc: 12.5208 7.2073 5.8117
angles: 90.00 110.21 90.00
Space group C2/m (No. 12)
Inequivalent atoms, fractional coordinates:
Fe (0.0000, 0.0000, 0.0000) [2 per cell]
Ni (0.0000, 0.5000, 0.0000) [2 per cell]
Ni (0.2500, 0.2500, 0.0000) [4 per cell]
Se (0.0473, 0.2477, 0.7788) [8 per cell]
Se (0.2008, 0.0000, 0.2206) [4 per cell]
Se (0.2017, 0.5000, 0.2175) [4 per cell]


| no. | volume (A^3/atom) |
| --- | --- |
| 1 | 14.12 |
| 2 | 20.51 |